# BeAl2Mo, optimized geometry, DFT GGA-PBE
data_BeAl2Mo
_cell_length_a 4.707
_cell_length_b 4.707
_cell_length_c 2.746
_cell_angle_alpha 90.00
_cell_angle_beta 90.00
_cell_angle_gamma 111.42
_space_group_name_H-M_alt 'P 1'
_space_group_IT_number 1
_space_group_name_Hall 'P 1'
loop_
_atom_site_label
_atom_site_type_symbol
_atom_site_fract_x
_atom_site_fract_y
_atom_site_fract_z
Be1 Be 0.000 0.000 0.000
Al1 Al 0.000 0.500 0.500
Al2 Al 0.500 0.000 0.500
Mo1 Mo 0.500 0.500 0.000
# E in eV/atom: -5.53
# Calculated formation energy in eV per atom: -0.015

---

# Pm3DySe4, optimized geometry, DFT GGA-PBE
data_Pm3DySe4
_cell_length_a 7.249
_cell_length_b 7.249
_cell_length_c 4.116
_cell_angle_alpha 90.00
_cell_angle_beta 90.00
_cell_angle_gamma 108.86
_space_group_name_H-M_alt 'P 1'
_space_group_IT_number 1
_space_group_name_Hall 'P 1'
loop_
_atom_site_label
_atom_site_type_symbol
_atom_site_fract_x
_atom_site_fract_y
_atom_site_fract_z
Pm1 Pm 0.000 0.000 0.000
Pm2 Pm 0.000 0.500 0.500
Pm3 Pm 0.500 0.000 0.500
Dy1 Dy 0.500 0.500 0.000
Se1 Se 0.254 0.746 0.000
Se2 Se 0.258 0.258 0.500
Se3 Se 0.742 0.742 0.500
Se4 Se 0.746 0.254 0.000
# E in eV/atom: -5.91
# Polymorph energy (0 for the lowest one) in meV/atom: 0.0

---

# Ho4ZnCo, optimized geometry, DFT GGA-PBE
data_Ho4ZnCo
_cell_length_a 9.296
_cell_length_b 9.296
_cell_length_c 9.296
_cell_angle_alpha 60.00
_cell_angle_beta 60.00
_cell_angle_gamma 60.00
_space_group_name_H-M_alt 'P 1'
_space_group_IT_number 1
_space_group_name_Hall 'P 1'
loop_
_atom_site_label
_atom_site_type_symbol
_atom_site_fract_x
_atom_site_fract_y
_atom_site_fract_z
Ho1 Ho 0.188 0.188 0.812
Ho2 Ho 0.188 0.812 0.188
Ho3 Ho 0.188 0.812 0.812
Ho4 Ho 0.400 0.400 0.400
Ho5 Ho 0.400 0.400 0.800
Ho6 Ho 0.400 0.800 0.400
Ho7 Ho 0.559 0.559 0.941
Ho8 Ho 0.559 0.941 0.559
Ho9 Ho 0.559 0.941 0.941
Ho10 Ho 0.800 0.400 0.400
Ho11 Ho 0.812 0.188 0.188
Ho12 Ho 0.812 0.188 0.812
Ho13 Ho 0.812 0.812 0.188
Ho14 Ho 0.941 0.559 0.559
Ho15 Ho 0.941 0.559 0.941
Ho16 Ho 0.941 0.941 0.559
Zn1 Zn 0.173 0.173 0.173
Zn2 Zn 0.173 0.173 0.482
Zn3 Zn 0.173 0.482 0.173
Zn4 Zn 0.482 0.173 0.173
Co1 Co 0.175 0.608 0.608
Co2 Co 0.608 0.175 0.608
Co3 Co 0.608 0.608 0.175
Co4 Co 0.608 0.608 0.608
# E in eV/atom: -4.69
# Calculated formation energy in eV per atom: -0.243
# Polymorph energy (0 for the lowest one) in meV/atom: 0.0

---

# MgAlO3, optimized geometry, DFT GGA-PBE
data_MgAlO3
_cell_length_a 6.690
_cell_length_b 6.690
_cell_length_c 6.690
_cell_angle_alpha 60.00
_cell_angle_beta 60.00
_cell_angle_gamma 60.00
_space_group_name_H-M_alt 'P 1'
_space_group_IT_number 1
_space_group_name_Hall 'P 1'
loop_
_atom_site_label
_atom_site_type_symbol
_atom_site_fract_x
_atom_site_fract_y
_atom_site_fract_z
Mg1 Mg 0.000 0.000 0.000
Mg2 Mg 0.000 0.000 0.500
Mg3 Mg 0.000 0.500 0.000
Mg4 Mg 0.500 0.000 0.000
Al1 Al 0.000 0.500 0.500
Al2 Al 0.500 0.000 0.500
Al3 Al 0.500 0.500 0.000
Al4 Al 0.500 0.500 0.500
O1 O 0.151 0.151 0.599
O2 O 0.151 0.599 0.151
O3 O 0.151 0.599 0.599
O4 O 0.401 0.401 0.849
O5 O 0.401 0.849 0.401
O6 O 0.401 0.849 0.849
O7 O 0.599 0.151 0.151
O8 O 0.599 0.151 0.599
O9 O 0.599 0.599 0.151
O10 O 0.849 0.401 0.401
O11 O 0.849 0.401 0.849
O12 O 0.849 0.849 0.401
# E in eV/atom: -6.12

---

# LiAcAlSn, optimized geometry, DFT GGA-PBE
data_LiAcAlSn
_cell_length_a 5.372
_cell_length_b 5.372
_cell_length_c 5.372
_cell_angle_alpha 60.00
_cell_angle_beta 60.00
_cell_angle_gamma 60.00
_space_group_name_H-M_alt 'P 1'
_space_group_IT_number 1
_space_group_name_Hall 'P 1'
loop_
_atom_site_label
_atom_site_type_symbol
_atom_site_fract_x
_atom_site_fract_y
_atom_site_fract_z
Li1 Li 0.000 0.000 0.000
Ac1 Ac 0.500 0.500 0.500
Al1 Al 0.750 0.750 0.750
Sn1 Sn 0.250 0.250 0.250
# E in eV/atom: -3.67
# Calculated formation energy in eV per atom: -0.233

---

# La2BiSb3, optimized geometry, DFT GGA-PBE
data_La2BiSb3
_cell_length_a 7.985
_cell_length_b 7.985
_cell_length_c 7.985
_cell_angle_alpha 146.43
_cell_angle_beta 131.81
_cell_angle_gamma 60.01
_space_group_name_H-M_alt 'P 1'
_space_group_IT_number 1
_space_group_name_Hall 'P 1'
loop_
_atom_site_label
_atom_site_type_symbol
_atom_site_fract_x
_atom_site_fract_y
_atom_site_fract_z
La1 La 0.167 0.167 0.000
La2 La 0.833 0.833 0.000
Bi1 Bi 0.500 0.500 0.000
Sb1 Sb 0.000 0.500 0.500
Sb2 Sb 0.334 0.834 0.500
Sb3 Sb 0.666 0.166 0.500
# E in eV/atom: -5.11

---

# ZnInSbI2, optimized geometry, DFT GGA-PBE
data_ZnInSbI2
_cell_length_a 5.822
_cell_length_b 5.822
_cell_length_c 5.225
_cell_angle_alpha 90.00
_cell_angle_beta 90.00
_cell_angle_gamma 90.00
_space_group_name_H-M_alt 'P 1'
_space_group_IT_number 1
_space_group_name_Hall 'P 1'
loop_
_atom_site_label
_atom_site_type_symbol
_atom_site_fract_x
_atom_site_fract_y
_atom_site_fract_z
Zn1 Zn 0.000 0.000 0.000
In1 In 0.500 0.500 0.500
Sb1 Sb 0.000 0.000 0.500
I1 I 0.000 0.500 0.000
I2 I 0.500 0.000 0.000
# E in eV/atom: -2.17
# Polymorph energy (0 for the lowest one) in meV/atom: 0.0

---

# Sr6Os3O14, optimized geometry, DFT GGA-PBE
data_Sr6Os3O14
_cell_length_a 8.896
_cell_length_b 8.896
_cell_length_c 5.496
_cell_angle_alpha 90.00
_cell_angle_beta 90.00
_cell_angle_gamma 120.00
_space_group_name_H-M_alt 'P 1'
_space_group_IT_number 1
_space_group_name_Hall 'P 1'
loop_
_atom_site_label
_atom_site_type_symbol
_atom_site_fract_x
_atom_site_fract_y
_atom_site_fract_z
Sr1 Sr 0.002 0.554 0.000
Sr2 Sr 0.296 0.084 0.533
Sr3 Sr 0.446 0.447 0.000
Sr4 Sr 0.553 0.998 0.000
Sr5 Sr 0.788 0.704 0.533
Sr6 Sr 0.916 0.212 0.533
Os1 Os 0.000 0.000 0.984
Os2 Os 0.333 0.667 0.440
Os3 Os 0.667 0.333 0.366
O1 O 0.000 0.000 0.316
O2 O 0.062 0.854 0.821
O3 O 0.146 0.208 0.821
O4 O 0.202 0.455 0.292
O5 O 0.253 0.798 0.292
O6 O 0.333 0.667 0.770
O7 O 0.455 0.197 0.154
O8 O 0.528 0.407 0.572
O9 O 0.545 0.747 0.292
O10 O 0.593 0.120 0.572
O11 O 0.743 0.545 0.154
O12 O 0.792 0.938 0.821
O13 O 0.803 0.257 0.154
O14 O 0.880 0.472 0.572
# E in eV/atom: -6.88

---

# Ho6In2CN, optimized geometry, DFT GGA-PBE
data_Ho6In2CN
_cell_length_a 6.848
_cell_length_b 6.848
_cell_length_c 6.848
_cell_angle_alpha 60.00
_cell_angle_beta 60.00
_cell_angle_gamma 60.00
_space_group_name_H-M_alt 'P 1'
_space_group_IT_number 1
_space_group_name_Hall 'P 1'
loop_
_atom_site_label
_atom_site_type_symbol
_atom_site_fract_x
_atom_site_fract_y
_atom_site_fract_z
Ho1 Ho 0.250 0.250 0.750
Ho2 Ho 0.250 0.750 0.250
Ho3 Ho 0.250 0.750 0.750
Ho4 Ho 0.750 0.250 0.250
Ho5 Ho 0.750 0.250 0.750
Ho6 Ho 0.750 0.750 0.250
In1 In 0.250 0.250 0.250
In2 In 0.750 0.750 0.750
C1 C 0.000 0.000 0.000
N1 N 0.500 0.500 0.500
# E in eV/atom: -5.83

---

# Li3CePd3, optimized geometry, DFT GGA-PBE
data_Li3CePd3
_cell_length_a 6.476
_cell_length_b 6.476
_cell_length_c 6.476
_cell_angle_alpha 90.00
_cell_angle_beta 90.00
_cell_angle_gamma 90.00
_space_group_name_H-M_alt 'P 1'
_space_group_IT_number 1
_space_group_name_Hall 'P 1'
loop_
_atom_site_label
_atom_site_type_symbol
_atom_site_fract_x
_atom_site_fract_y
_atom_site_fract_z
Li1 Li 0.000 0.250 0.500
Li2 Li 0.000 0.750 0.500
Li3 Li 0.250 0.500 0.000
Li4 Li 0.500 0.000 0.250
Li5 Li 0.500 0.000 0.750
Li6 Li 0.750 0.500 0.000
Ce1 Ce 0.000 0.000 0.000
Ce2 Ce 0.500 0.500 0.500
Pd1 Pd 0.000 0.500 0.250
Pd2 Pd 0.000 0.500 0.750
Pd3 Pd 0.250 0.000 0.500
Pd4 Pd 0.500 0.250 0.000
Pd5 Pd 0.500 0.750 0.000
Pd6 Pd 0.750 0.000 0.500
# E in eV/atom: -3.88
# Calculated formation energy in eV per atom: 0.014

---

# Er4In5S13, optimized geometry, DFT GGA-PBE
data_Er4In5S13
_cell_length_a 11.942
_cell_length_b 21.478
_cell_length_c 3.834
_cell_angle_alpha 90.00
_cell_angle_beta 90.00
_cell_angle_gamma 90.00
_space_group_name_H-M_alt 'P 1'
_space_group_IT_number 1
_space_group_name_Hall 'P 1'
loop_
_atom_site_label
_atom_site_type_symbol
_atom_site_fract_x
_atom_site_fract_y
_atom_site_fract_z
Er1 Er 0.021 0.176 0.000
Er2 Er 0.185 0.339 0.000
Er3 Er 0.315 0.839 0.000
Er4 Er 0.479 0.676 0.000
Er5 Er 0.521 0.324 0.000
Er6 Er 0.685 0.161 0.000
Er7 Er 0.815 0.661 0.000
Er8 Er 0.979 0.824 0.000
In1 In 0.000 0.500 0.000
In2 In 0.153 0.992 0.500
In3 In 0.159 0.666 0.500
In4 In 0.341 0.166 0.500
In5 In 0.347 0.492 0.500
In6 In 0.500 0.000 0.000
In7 In 0.653 0.508 0.500
In8 In 0.659 0.834 0.500
In9 In 0.841 0.334 0.500
In10 In 0.847 0.008 0.500
S1 S 0.000 0.000 0.000
S2 S 0.003 0.408 0.500
S3 S 0.091 0.263 0.500
S4 S 0.143 0.863 0.500
S5 S 0.153 0.115 0.500
S6 S 0.159 0.739 0.000
S7 S 0.205 0.470 0.000
S8 S 0.295 0.970 0.000
S9 S 0.341 0.239 0.000
S10 S 0.347 0.615 0.500
S11 S 0.357 0.363 0.500
S12 S 0.409 0.763 0.500
S13 S 0.497 0.908 0.500
S14 S 0.500 0.500 0.000
S15 S 0.503 0.092 0.500
S16 S 0.591 0.237 0.500
S17 S 0.643 0.637 0.500
S18 S 0.653 0.385 0.500
S19 S 0.659 0.761 0.000
S20 S 0.705 0.030 0.000
S21 S 0.795 0.530 0.000
S22 S 0.841 0.261 0.000
S23 S 0.847 0.885 0.500
S24 S 0.857 0.137 0.500
S25 S 0.909 0.737 0.500
S26 S 0.997 0.592 0.500
# E in eV/atom: -5.07

---

# LuNpBi2, optimized geometry, DFT GGA-PBE
data_LuNpBi2
_cell_length_a 4.022
_cell_length_b 4.022
_cell_length_c 6.986
_cell_angle_alpha 90.00
_cell_angle_beta 90.00
_cell_angle_gamma 90.00
_space_group_name_H-M_alt 'P 1'
_space_group_IT_number 1
_space_group_name_Hall 'P 1'
loop_
_atom_site_label
_atom_site_type_symbol
_atom_site_fract_x
_atom_site_fract_y
_atom_site_fract_z
Lu1 Lu 0.000 0.000 0.000
Np1 Np 0.000 0.000 0.500
Bi1 Bi 0.500 0.500 0.247
Bi2 Bi 0.500 0.500 0.753
# E in eV/atom: -6.48
# Calculated formation energy in eV per atom: -0.174
# Polymorph energy (0 for the lowest one) in meV/atom: 125.1

---

Q: Among the records above, which one has the highest E?
A: ZnInSbI2

---

Q: Which value of E does entry 10 give?
A: -3.88 eV/atom